# 1
A plane-wave DFT calculation with PBE-GGA was carried out for a relaxed structure of LaPmNb.

Summary:
**Theoretical density**: 6.6 Mg/m³
**E**: -5.838 eV per atom

abc: 5.122 5.122 5.122
angles: 60.00 60.00 60.00
Atoms (fractional coordinates):
La: 0.000 0.000 0.000
Pm: 0.500 0.500 0.500
Nb: 0.250 0.250 0.250

=====

# 2
A plane-wave DFT calculation with PBE-GGA was carried out for a relaxed structure of LaPrNb.

Summary:
**Theoretical density**: 6.4 Mg/m³
**E**: -5.850 eV per atom

abc: 5.150 5.150 5.150
angles: 60.00 60.00 60.00
Atoms (fractional coordinates):
La: 0.000 0.000 0.000
Pr: 0.500 0.500 0.500
Nb: 0.250 0.250 0.250

=====

# 3
A plane-wave DFT calculation with PBE-GGA was carried out for a relaxed structure of LaNbPt.

Summary:
**Theoretical density**: 9.7 Mg/m³
**E**: -6.337 eV per atom

abc: 4.696 4.696 4.696
angles: 60.00 60.00 60.00
Atoms (fractional coordinates):
La: 0.000 0.000 0.000
Nb: 0.750 0.750 0.750
Pt: 0.250 0.250 0.250

=====

# 4
A plane-wave DFT calculation with PBE-GGA was carried out for a relaxed structure of LaNbPt.

Summary:
**Theoretical density**: 9.2 Mg/m³
**E**: -6.965 eV per atom

abc: 4.779 4.779 4.779
angles: 60.00 60.00 60.00
Atoms (fractional coordinates):
La: 0.000 0.000 0.000
Nb: 0.500 0.500 0.500
Pt: 0.250 0.250 0.250

=====

# 5
A plane-wave DFT calculation with PBE-GGA was carried out for a relaxed structure of LaNbRe.

Summary:
**Theoretical density**: 9.7 Mg/m³
**E**: -8.607 eV per atom

abc: 4.659 4.659 4.659
angles: 60.00 60.00 60.00
Atoms (fractional coordinates):
La: 0.000 0.000 0.000
Nb: 0.500 0.500 0.500
Re: 0.250 0.250 0.250

=====

# 6
A plane-wave DFT calculation with PBE-GGA was carried out for a relaxed structure of LaNbSb.

Summary:
**Theoretical density**: 5.9 Mg/m³
**E**: -5.678 eV per atom

abc: 5.198 5.198 5.198
angles: 60.00 60.00 60.00
Atoms (fractional coordinates):
La: 0.000 0.000 0.000
Nb: 0.750 0.750 0.750
Sb: 0.250 0.250 0.250

=====

# 7
A plane-wave DFT calculation with PBE-GGA was carried out for a relaxed structure of LaNbSb.

Summary:
**Theoretical density**: 6.7 Mg/m³
**E**: -6.301 eV per atom

abc: 4.980 4.980 4.980
angles: 60.00 60.00 60.00
Atoms (fractional coordinates):
La: 0.000 0.000 0.000
Nb: 0.500 0.500 0.500
Sb: 0.250 0.250 0.250

=====

# 8
A plane-wave DFT calculation with PBE-GGA was carried out for a relaxed structure of LaScNb.

Summary:
**Theoretical density**: 5.4 Mg/m³
**E**: -6.100 eV per atom

abc: 4.931 4.931 4.931
angles: 60.00 60.00 60.00
Atoms (fractional coordinates):
La: 0.000 0.000 0.000
Sc: 0.250 0.250 0.250
Nb: 0.500 0.500 0.500

=====

# 9
A plane-wave DFT calculation with PBE-GGA was carried out for a relaxed structure of LaNbSi.

Summary:
**Theoretical density**: 5.8 Mg/m³
**E**: -6.727 eV per atom

abc: 4.717 4.717 4.717
angles: 60.00 60.00 60.00
Atoms (fractional coordinates):
La: 0.000 0.000 0.000
Nb: 0.500 0.500 0.500
Si: 0.250 0.250 0.250

=====

# 10
A plane-wave DFT calculation with PBE-GGA was carried out for a relaxed structure of LaNbSi.

Summary:
**Theoretical density**: 5.1 Mg/m³
**E**: -5.755 eV per atom

abc: 4.927 4.927 4.927
angles: 60.00 60.00 60.00
Atoms (fractional coordinates):
La: 0.000 0.000 0.000
Nb: 0.750 0.750 0.750
Si: 0.250 0.250 0.250

=====

# 11
A plane-wave DFT calculation with PBE-GGA was carried out for a relaxed structure of LaSmNb.

Summary:
**Theoretical density**: 6.7 Mg/m³
**E**: -5.825 eV per atom

abc: 5.113 5.113 5.113
angles: 60.00 60.00 60.00
Atoms (fractional coordinates):
La: 0.000 0.000 0.000
Sm: 0.500 0.500 0.500
Nb: 0.250 0.250 0.250

=====

# 12
A plane-wave DFT calculation with PBE-GGA was carried out for a relaxed structure of LaNbTc.

Summary:
**Theoretical density**: 7.7 Mg/m³
**E**: -8.023 eV per atom

abc: 4.643 4.643 4.643
angles: 60.00 60.00 60.00
Atoms (fractional coordinates):
La: 0.000 0.000 0.000
Nb: 0.500 0.500 0.500
Tc: 0.250 0.250 0.250